# 1
The following is a DFT calculation (PBE-GGA) of crystalline CaEu3Os at its relaxed geometry.

Volume in Å³/atom: 36.44
Magnetic moment in μB/cell: 20.7
SG: No. 221
Electronic total energy in eV per atom: -8.66

Unit cell a=5.669 b=5.669 c=5.669 alpha=90.00 beta=90.00 gamma=90.00
Atoms (fractional coordinates):
Ca1 0.000 0.000 0.000
Eu1 0.000 0.500 0.500
Eu2 0.500 0.000 0.500
Eu3 0.500 0.500 0.000
Os1 0.500 0.500 0.500

---

# 2
The following is a DFT calculation (PBE-GGA) of crystalline CaEuOs4 at its relaxed geometry.

Volume in Å³/atom: 18.42
Magnetic moment in μB/cell: 5.2
SG: No. 216
Electronic total energy in eV per atom: -9.39

Unit cell a=5.387 b=5.387 c=5.387 alpha=60.00 beta=60.00 gamma=60.00
Atoms (fractional coordinates):
Ca1 0.000 0.000 0.000
Eu1 0.250 0.250 0.250
Os1 0.125 0.625 0.625
Os2 0.625 0.125 0.625
Os3 0.625 0.625 0.125
Os4 0.625 0.625 0.625

---

# 3
The following is a DFT calculation (PBE-GGA) of crystalline CaEuP at its relaxed geometry.

Volume in Å³/atom: 27.98
Magnetic moment in μB/cell: 7.2
Energy above the most stable polymorph in this dataset in eV/f.u.: 0.00
SG: No. 216

Unit cell a=4.914 b=4.914 c=4.914 alpha=60.00 beta=60.00 gamma=60.00
Atoms (fractional coordinates):
Ca1 0.000 0.000 0.000
Eu1 0.500 0.500 0.500
P1 0.250 0.250 0.250

---

# 4
The following is a DFT calculation (PBE-GGA) of crystalline CaEu3P at its relaxed geometry.

Volume in Å³/atom: 38.96
Magnetic moment in μB/cell: 23.0
SG: No. 221
Electronic total energy in eV per atom: -8.12

Unit cell a=5.797 b=5.797 c=5.797 alpha=90.00 beta=90.00 gamma=90.00
Atoms (fractional coordinates):
Ca1 0.000 0.000 0.000
Eu1 0.000 0.500 0.500
Eu2 0.500 0.000 0.500
Eu3 0.500 0.500 0.000
P1 0.500 0.500 0.500

---

# 5
The following is a DFT calculation (PBE-GGA) of crystalline CaEuP at its relaxed geometry.

Volume in Å³/atom: 35.86
Magnetic moment in μB/cell: 7.3
Energy above the most stable polymorph in this dataset in eV/f.u.: 0.11
SG: No. 156

Unit cell a=4.223 b=4.223 c=6.965 alpha=90.00 beta=90.00 gamma=120.00
Atoms (fractional coordinates):
Ca1 0.000 0.000 0.000
Eu1 0.333 0.667 0.438
P1 0.667 0.333 0.213

---

# 6
The following is a DFT calculation (PBE-GGA) of crystalline CaEuP at its relaxed geometry.

Volume in Å³/atom: 29.99
Magnetic moment in μB/cell: 7.2
Energy above the most stable polymorph in this dataset in eV/f.u.: 0.50
SG: No. 107

Unit cell a=7.184 b=7.184 c=7.184 alpha=150.45 beta=150.45 gamma=42.28
Atoms (fractional coordinates):
Ca1 0.000 0.000 0.000
Eu1 0.232 0.232 0.000
P1 0.614 0.614 0.000

---

# 7
The following is a DFT calculation (PBE-GGA) of crystalline CaEuPPt at its relaxed geometry.

Volume in Å³/atom: 22.28
Magnetic moment in μB/cell: 6.7
SG: No. 216
Electronic total energy in eV per atom: -6.81

Unit cell a=5.014 b=5.014 c=5.014 alpha=60.00 beta=60.00 gamma=60.00
Atoms (fractional coordinates):
Ca1 0.000 0.000 0.000
Eu1 0.500 0.500 0.500
P1 0.250 0.250 0.250
Pt1 0.750 0.750 0.750

---

# 8
The following is a DFT calculation (PBE-GGA) of crystalline CaEuPb2 at its relaxed geometry.

Volume in Å³/atom: 30.80
Magnetic moment in μB/cell: 7.0
SG: No. 123
Electronic total energy in eV per atom: -5.46

Unit cell a=3.650 b=3.650 c=9.247 alpha=90.00 beta=90.00 gamma=90.00
Atoms (fractional coordinates):
Ca1 0.000 0.000 0.000
Eu1 0.000 0.000 0.500
Pb1 0.500 0.500 0.246
Pb2 0.500 0.500 0.754

---

# 9
The following is a DFT calculation (PBE-GGA) of crystalline CaEuPb2 at its relaxed geometry.

Volume in Å³/atom: 32.95
Magnetic moment in μB/cell: 7.2
SG: No. 166
Electronic total energy in eV per atom: -5.34

Unit cell a=10.520 b=10.520 c=10.520 alpha=21.07 beta=21.07 gamma=21.07
Atoms (fractional coordinates):
Ca1 0.000 0.000 0.000
Eu1 0.500 0.500 0.500
Pb1 0.252 0.252 0.252
Pb2 0.748 0.748 0.748

---

# 10
The following is a DFT calculation (PBE-GGA) of crystalline CaEuPb4 at its relaxed geometry.

Volume in Å³/atom: 33.03
Magnetic moment in μB/cell: 6.9
SG: No. 216
Electronic total energy in eV per atom: -4.85

Unit cell a=6.544 b=6.544 c=6.544 alpha=60.00 beta=60.00 gamma=60.00
Atoms (fractional coordinates):
Ca1 0.000 0.000 0.000
Eu1 0.750 0.750 0.750
Pb1 0.375 0.375 0.375
Pb2 0.375 0.375 0.875
Pb3 0.375 0.875 0.375
Pb4 0.875 0.375 0.375

---

# 11
The following is a DFT calculation (PBE-GGA) of crystalline CaEuPb2 at its relaxed geometry.

Volume in Å³/atom: 30.75
Magnetic moment in μB/cell: 7.1
SG: No. 123
Electronic total energy in eV per atom: -5.46

Unit cell a=5.120 b=5.120 c=4.692 alpha=90.00 beta=90.00 gamma=90.00
Atoms (fractional coordinates):
Ca1 0.000 0.000 0.000
Eu1 0.500 0.500 0.000
Pb1 0.000 0.500 0.500
Pb2 0.500 0.000 0.500

---

# 12
The following is a DFT calculation (PBE-GGA) of crystalline CaEuPb at its relaxed geometry.

Volume in Å³/atom: 38.89
Magnetic moment in μB/cell: 7.0
SG: No. 216
Electronic total energy in eV per atom: -5.79

Unit cell a=5.485 b=5.485 c=5.485 alpha=60.00 beta=60.00 gamma=60.00
Atoms (fractional coordinates):
Ca1 0.000 0.000 0.000
Eu1 0.500 0.500 0.500
Pb1 0.250 0.250 0.250